A relaxed MoPt8 crystal, computed with GGA-PBE.

The structure in CIF format:
```
data_MoPt8
_chemical_formula_sum 'Mo2 Pt16'
_space_group_name_H-M_alt 'I 4/m m m'
_space_group_IT_number 139
_space_group_name_Hall '-I 4 2'
_cell_length_a 8.4422
_cell_length_b 8.4422
_cell_length_c 3.9428
_cell_angle_alpha 90.00
_cell_angle_beta 90.00
_cell_angle_gamma 90.00
loop_
_atom_site_label
_atom_site_type_symbol
_atom_site_fract_x
_atom_site_fract_y
_atom_site_fract_z
Mo1 Mo 0.0000 0.0000 0.0000
Pt1 Pt 0.0000 0.3291 0.0000
Pt2 Pt 0.1612 0.1612 0.5000
```

For the total energy, the calculation gives -6.776 eV/atom. The calculation puts the formation energy at -0.203 eV per atom. The magnetization comes out at 0.0000 μB/atom. The calculation puts the volume at 281.01 Å³/cell. Its theoretical density is 19.579 g cm⁻³. The value obtained for the density of states at the Fermi level is 0.923 states/eV/atom.